No. 1
Compound: Sc2TlCl
Source: the Alexandria database
Functional: PBE
Structure: optimized geometry

Results
E_form (uncorrected) (meV per atom): -429
Distance to the lowest polymorph of the same formula (eV per formula unit): 1.042

Cell lengths 7.1020, 7.1020, 7.1020 Å; angles 90.00, 90.00, 90.00 degrees
Last column: nearest neighbours and their distance in Å.
Space group Fm-3m (No. 225)
Symmetry-distinct sites (fractional):
Sc: 0.2500 0.2500 0.2500 [8 per cell]  4 Tl 3.08, 4 Cl 3.08
Tl: 0.0000 0.0000 0.0000 [4 per cell]  8 Sc 3.08
Cl: 0.0000 0.0000 0.5000 [4 per cell]  8 Sc 3.08

---

No. 2
Compound: DyThOsRu
Source: the Alexandria database
Functional: PBE
Structure: optimized geometry

Results
Energy of formation (meV per atom): -294

Cell lengths 6.9736, 6.9736, 6.9736 Å; angles 90.00, 90.00, 90.00 degrees
Last column: nearest neighbours and their distance in Å.
Space group F-43m (No. 216)
Symmetry-distinct sites (fractional):
Dy: 0.0000 0.0000 0.0000 [4 per cell]  4 Os 3.02, 4 Ru 3.02
Th: 0.0000 0.0000 0.5000 [4 per cell]  4 Ru 3.02, 4 Os 3.02
Os: 0.2500 0.2500 0.7500 [4 per cell]  4 Th 3.02, 4 Dy 3.02
Ru: 0.2500 0.2500 0.2500 [4 per cell]  4 Th 3.02, 4 Dy 3.02

---

No. 3
Compound: AlAgW
Source: the Alexandria database
Functional: PBE
Structure: optimized geometry

Results
Energy of formation (meV per atom): -36
Distance to the lowest polymorph of the same formula (eV per formula unit): 0.000

Cell lengths 3.2292, 3.2292, 9.4071 Å; angles 90.00, 90.00, 90.00 degrees
Last column: nearest neighbours and their distance in Å.
Space group P4/nmm (No. 129, origin choice 2)
Symmetry-distinct sites (fractional):
Al: 0.2500 0.2500 0.2375 [2 per cell]  4 Ag 2.75, 5 W 2.76-2.92
Ag: 0.2500 0.2500 0.5994 [2 per cell]  4 Al 2.75, 4 Ag 2.95
W: 0.2500 0.2500 0.9270 [2 per cell]  4 W 2.66, 5 Al 2.76-2.92

---

Size of the total moment? In order: 0.0 0.0 0.0 μB per formula unit.